No. 1
PBE ScSe2Br, relaxed; formation energy (no corrections) = -39.7 kJ/mol of atoms; M_tot = 0.000 Bohr magnetons per cell
1.0
4.9458 0.0000 0.0000
2.4729 4.2832 0.0000
2.4729 1.4277 4.0382
Se Sc Br
2 1 1
direct
0.7500 0.7500 0.7500
0.0000 0.0000 0.0000
0.2500 0.2500 0.2500
0.5000 0.5000 0.5000



No. 2
PBE Sc2SeBr3, relaxed; formation energy (no corrections) = -152.1 kJ/mol of atoms; M_tot = 1.831 Bohr magnetons per cell
1.0
-0.5273 -1.3900 -3.4905
9.3929 0.3865 -3.6346
1.9179 -9.8046 1.5528
Br Se Sc
6 2 4
direct
0.2224 0.1647 0.3905
0.3210 0.3334 0.0245
0.7776 0.8353 0.6095
0.9584 0.8154 0.2679
0.6790 0.6666 0.9755
0.0416 0.1846 0.7321
0.5940 0.4827 0.3293
0.4060 0.5173 0.6707
0.5898 0.2824 0.5380
0.1341 0.5693 0.1625
0.4102 0.7176 0.4620
0.8659 0.4307 0.8375



No. 3
PBE ScSeBr2, relaxed; formation energy (no corrections) = -43.5 kJ/mol of atoms; M_tot = 0.000 Bohr magnetons per cell
1.0
-2.8667 -2.7522 3.0787
-0.5074 1.3305 4.8211
-4.3815 1.8251 1.6560
Se Br Sc
1 2 1
direct
0.5000 0.5000 0.5000
0.2500 0.2500 0.2500
0.7500 0.7500 0.7500
0.0000 0.0000 0.0000



No. 4
PBE Sc4SeBr, relaxed; formation energy (no corrections) = 5.7 kJ/mol of atoms; M_tot = 0.001 Bohr magnetons per cell
1.0
-3.8395 -3.4284 2.9931
-4.2089 2.5014 3.3887
-5.7078 -0.2436 -1.6782
Sc Br Se
4 1 1
direct
0.3757 0.3757 0.8729
0.3757 0.8729 0.3757
0.3757 0.3757 0.3757
0.8729 0.3757 0.3757
0.0000 0.0000 0.0000
0.7500 0.7500 0.7500



No. 5
PBE ScSeBr2, relaxed; formation energy (no corrections) = -48.7 kJ/mol of atoms; M_tot = 0.336 Bohr magnetons per cell
1.0
5.7573 0.0001 0.0458
-2.1654 5.3346 0.0458
1.4297 2.1233 3.3032
Br Se Sc
2 1 1
direct
0.5000 0.5000 0.0000
0.0000 0.0000 0.0000
0.0000 0.5000 0.5000
0.5000 0.0000 0.5000



No. 6
PBE ScSeBr2, relaxed; formation energy (no corrections) = -48.0 kJ/mol of atoms; M_tot = 0.000 Bohr magnetons per cell
1.0
5.5135 -0.0001 0.0000
1.8569 5.1914 0.0000
-3.6852 -2.5956 3.1750
Br Sc Se
2 1 1
direct
0.0000 0.0000 0.0000
0.2500 0.7500 0.5000
0.5000 0.5000 0.0000
0.7500 0.2500 0.5000



No. 7
PBE ScSe2Br, relaxed; formation energy (no corrections) = -55.0 kJ/mol of atoms; M_tot = 0.000 Bohr magnetons per cell
1.0
5.1049 -0.0124 -0.0019
-2.6074 6.1812 -0.0248
0.0035 2.9633 3.0659
Sc Se Br
1 2 1
direct
0.5000 0.0000 0.5000
0.0000 0.0000 0.0000
0.0000 0.5000 0.5000
0.5000 0.5000 0.0000



No. 8
PBE ScSeBr2, relaxed; formation energy (no corrections) = -44.7 kJ/mol of atoms; M_tot = 0.444 Bohr magnetons per cell
1.0
3.6799 0.0000 0.0000
0.0000 5.4753 0.0000
0.0000 0.0000 4.6002
Se Sc Br
1 1 2
direct
0.0000 0.5000 0.5000
0.5000 0.0000 0.5000
0.0000 0.0000 0.0000
0.5000 0.5000 0.0000



No. 9
PBE ScSe2Br, relaxed; formation energy (no corrections) = -49.7 kJ/mol of atoms; M_tot = 0.000 Bohr magnetons per cell
1.0
6.9628 0.2329 0.0000
4.6228 5.2120 0.0000
-5.7928 -2.7225 2.7507
Se Sc Br
2 1 1
direct
0.2500 0.7500 0.5000
0.0000 0.0000 0.0000
0.7500 0.2500 0.5000
0.5000 0.5000 0.0000



No. 10
PBE ScSeBr4, relaxed; formation energy (no corrections) = 34.0 kJ/mol of atoms; M_tot = 0.037 Bohr magnetons per cell
1.0
0.7269 -0.2769 5.9962
-4.4368 -2.1730 3.4861
0.6445 -5.3601 2.7229
Br Se Sc
4 1 1
direct
0.8743 0.3752 0.3752
0.3752 0.3752 0.3752
0.3752 0.8743 0.3752
0.3752 0.3752 0.8743
0.0000 0.0000 0.0000
0.7500 0.7500 0.7500



No. 11
PBE ScSeBr3, relaxed; formation energy (no corrections) = 10.0 kJ/mol of atoms; M_tot = 1.606 Bohr magnetons per cell
1.0
-4.4991 0.0455 3.0721
-1.6232 -4.6604 -2.3082
2.6087 -2.8215 3.8621
Br Sc Se
3 1 1
direct
0.0000 0.0000 0.5000
0.5000 0.0000 0.0000
0.0000 0.5000 0.0000
0.5000 0.5000 0.5000
0.0000 0.0000 0.0000



No. 12
PBE ScSeBr2, relaxed; formation energy (no corrections) = -87.1 kJ/mol of atoms; M_tot = 0.519 Bohr magnetons per cell
1.0
-0.2648 -3.4485 1.3783
0.4844 -1.4021 -3.4149
7.8657 -0.1358 1.1715
Sc Br Se
1 2 1
direct
0.0000 0.0000 0.5814
0.0000 0.0000 0.9155
0.5000 0.5000 0.3198
0.5000 0.5000 0.6833



No. 13
PBE ScSeBr2, relaxed; formation energy (no corrections) = -100.3 kJ/mol of atoms; M_tot = 0.001 Bohr magnetons per cell
1.0
8.0500 0.0291 -0.0207
7.2738 3.4489 -0.0207
1.4026 0.3183 4.4836
Se Br Sc
1 2 1
direct
0.2500 0.2500 0.2500
0.3926 0.3926 0.6067
0.1074 0.1074 0.8933
0.7500 0.7500 0.7500



No. 14
PBE Sc3SeBr3, relaxed; formation energy (no corrections) = -133.1 kJ/mol of atoms; M_tot = 0.000 Bohr magnetons per cell
1.0
9.0355 0.0000 -3.1945
-4.5177 7.8250 -3.1945
0.0000 0.0000 9.5836
Sc Br Se
12 12 4
direct
0.9668 0.4834 0.2334
0.2500 0.2334 0.2666
0.7334 0.2666 0.7500
0.9834 0.2334 0.4668
0.5166 0.0332 0.2666
0.2500 0.0166 0.4834
0.5332 0.2666 0.0166
0.7666 0.0166 0.0332
0.7334 0.4668 0.4834
0.5166 0.4834 0.7500
0.7666 0.7500 0.2334
0.9834 0.7500 0.0166
0.2479 0.9979 0.9958
0.0021 0.2500 0.9979
0.0021 0.7521 0.5042
0.4979 0.5021 0.2500
0.4958 0.7479 0.9979
0.2521 0.7479 0.2500
0.7500 0.9979 0.5021
0.4979 0.9958 0.7479
0.7500 0.7521 0.7479
0.2479 0.2500 0.7521
0.0042 0.5021 0.7521
0.2521 0.5042 0.5021
0.7500 0.5000 0.0000
0.5000 0.2500 0.5000
0.0000 0.0000 0.2500
0.7500 0.2500 0.2500



No. 15
PBE ScSe2Br, relaxed; formation energy (no corrections) = -68.8 kJ/mol of atoms; M_tot = 0.000 Bohr magnetons per cell
1.0
-0.1739 1.2054 3.2588
3.1778 -1.2643 0.6372
3.2840 7.0318 -2.4258
Sc Br Se
1 1 2
direct
0.5000 0.5000 0.8063
0.0000 0.0000 0.5784
0.5000 0.5000 0.1621
0.0000 0.0000 0.9533



No. 16
PBE ScSe2Br, relaxed; formation energy (no corrections) = -97.3 kJ/mol of atoms; M_tot = 0.000 Bohr magnetons per cell
1.0
-1.8907 -4.7592 6.5546
-1.1721 -7.4156 3.5808
1.9178 -5.8005 5.6448
Br Sc Se
1 1 2
direct
0.0000 0.0000 0.0000
0.5000 0.5000 0.5000
0.8918 0.8918 0.8918
0.1082 0.1082 0.1082



No. 17
PBE ScSe2Br, relaxed; formation energy (no corrections) = -73.6 kJ/mol of atoms; M_tot = 1.673 Bohr magnetons per cell
1.0
-6.7770 8.1150 -2.3881
-7.4200 7.7967 1.2803
-4.5400 9.8422 0.0582
Se Sc Br
2 1 1
direct
0.0320 0.0320 0.0320
0.2578 0.2578 0.2578
0.7439 0.7439 0.7439
0.4663 0.4663 0.4663



No. 18
PBE ScSeBr2, relaxed; formation energy (no corrections) = -35.1 kJ/mol of atoms; M_tot = 0.000 Bohr magnetons per cell
1.0
-0.3867 0.5946 -4.4894
1.6348 -4.1836 -0.6949
-4.2512 -1.6850 0.1430
Se Br Sc
1 2 1
direct
0.0000 0.5000 0.5000
0.0000 0.0000 0.0000
0.5000 0.5000 0.0000
0.5000 0.0000 0.5000



No. 19
PBE ScSe2Br, relaxed; formation energy (no corrections) = -68.4 kJ/mol of atoms; M_tot = 0.000 Bohr magnetons per cell
1.0
8.1569 -0.0361 -0.0217
7.2293 3.7779 -0.0217
7.2293 1.7581 3.3440
Br Se Sc
1 2 1
direct
0.2500 0.2500 0.2500
0.4782 0.4782 0.4782
0.0218 0.0218 0.0218
0.7500 0.7500 0.7500



No. 20
PBE ScSe2Br, relaxed; formation energy (no corrections) = -73.4 kJ/mol of atoms; M_tot = 0.000 Bohr magnetons per cell
1.0
5.5217 0.0000 0.0000
0.0000 4.7192 0.0151
0.0000 2.3312 4.1943
Br Sc Se
1 1 2
direct
0.0000 0.4901 0.5169
0.5000 0.8904 0.8530
0.0000 0.8963 0.9325
0.5000 0.2232 0.1977



No. 21
PBE ScSe2Br, relaxed; formation energy (no corrections) = -66.0 kJ/mol of atoms; M_tot = 0.000 Bohr magnetons per cell
1.0
6.1833 0.0200 0.0048
3.0755 5.3642 -0.0048
-4.1106 -3.5842 2.9137
Br Se Sc
1 2 1
direct
0.2500 0.7500 0.5000
0.9409 0.9409 0.0000
0.5591 0.5591 0.0000
0.7500 0.2500 0.5000



No. 22
PBE ScSeBr2, relaxed; formation energy (no corrections) = -74.7 kJ/mol of atoms; M_tot = 0.000 Bohr magnetons per cell
1.0
2.0450 0.0000 10.5323
-1.0225 1.7710 10.5323
-1.0225 -1.7710 10.5323
Se Br Sc
1 2 1
direct
0.0000 0.0000 0.0000
0.8882 0.8882 0.8882
0.1118 0.1118 0.1118
0.5000 0.5000 0.5000



No. 23
PBE ScSe2Br, relaxed; formation energy (no corrections) = -86.5 kJ/mol of atoms; M_tot = 0.000 Bohr magnetons per cell
1.0
3.6703 0.0034 0.0000
-0.0027 3.6703 0.0000
0.0000 0.0000 6.7825
Se Br Sc
2 1 1
direct
0.0000 0.0000 0.9330
0.0000 0.0000 0.5670
0.5000 0.5000 0.2500
0.5000 0.5000 0.7500



No. 24
PBE ScSeBr2, relaxed; formation energy (no corrections) = -8.3 kJ/mol of atoms; M_tot = 1.951 Bohr magnetons per cell
1.0
2.2044 0.0000 11.2001
-1.1022 1.9091 11.2001
-1.1022 -1.9091 11.2001
Br Se Sc
2 1 1
direct
0.0724 0.0724 0.0724
0.9276 0.9276 0.9276
0.5000 0.5000 0.5000
0.0000 0.0000 0.0000



No. 25
PBE ScSe2Br, relaxed; formation energy (no corrections) = -28.7 kJ/mol of atoms; M_tot = 0.000 Bohr magnetons per cell
1.0
4.9044 0.0000 0.0000
0.0000 4.9044 0.0000
0.0000 0.0000 3.6398
Se Sc Br
2 1 1
direct
0.0000 0.0000 0.0000
0.5000 0.5000 0.0000
0.0000 0.5000 0.5000
0.5000 0.0000 0.5000



No. 26
PBE ScSe2Br, relaxed; formation energy (no corrections) = -98.3 kJ/mol of atoms; M_tot = 0.000 Bohr magnetons per cell
1.0
7.6507 0.0509 0.0006
5.1871 5.6241 -0.0006
-6.1147 -3.5256 2.9524
Se Sc Br
2 1 1
direct
0.8688 0.8688 0.0000
0.2968 0.7968 0.5000
0.7370 0.2370 0.5000
0.5974 0.5974 0.0000



No. 27
PBE ScSeBr2, relaxed; formation energy (no corrections) = -114.4 kJ/mol of atoms; M_tot = 0.718 Bohr magnetons per cell
1.0
7.0949 0.0887 0.0020
6.2573 3.3454 0.0020
3.4889 0.8973 6.2240
Sc Br Se
1 2 1
direct
0.4962 0.4962 0.3751
0.8490 0.8490 0.6630
0.9998 0.9998 0.0869
0.1549 0.1549 0.3750



No. 28
PBE ScSeBr2, relaxed; formation energy (no corrections) = -102.3 kJ/mol of atoms; M_tot = 1.992 Bohr magnetons per cell
1.0
-1.3868 -9.1318 -3.4304
5.8195 2.0063 -7.6934
4.2917 -4.3869 -4.2070
Br Sc Se
4 2 2
direct
0.4720 0.1250 0.2500
0.8750 0.7220 0.7500
0.2780 0.6250 0.2500
0.3750 0.5280 0.7500
0.2500 0.7500 0.5000
0.5000 0.5000 0.0000
0.7500 0.2500 0.5000
0.0000 0.0000 0.0000